## ThCuRe (PBE-GGA)

Data for an optimized crystal structure of ThCuRe. Values from VASP.

**Energy of formation from the pure elements**: 54.59 kJ per mole of atoms
**V**: 21.02 A^3/atom
**Spin magnetization**: 0.13 μB/atom
**Total DFT energy (no corrections)**: -21.86 eV/cell
**Energy above the lowest structure with this stoichiometry**: 0 meV per atom

Structure (Quantum ESPRESSO input):
```
&SYSTEM
  ibrav = 0, nat = 3, ntyp = 3
/
ATOMIC_SPECIES
Re 186.21 Re.upf
Cu 63.55 Cu.upf
Th 232.04 Th.upf
CELL_PARAMETERS angstrom
0.0000 3.1592 3.1592
3.1592 0.0000 3.1592
3.1592 3.1592 0.0000
ATOMIC_POSITIONS angstrom
Re 1.5796 1.5796 1.5796
Cu 0.0000 0.0000 0.0000
Th 4.7387 4.7387 4.7387
```